# Tb2BeNi12B3 (PBE, optimized geometry)
# crystal system: trigonal
# D(E_F): 9.54 states/eV/cell
# formation energy: -8.97 kJ/mol of atoms
data_Tb2BeNi12B3
_cell_length_a 6.6706
_cell_length_b 6.6706
_cell_length_c 6.6706
_cell_angle_alpha 65.63
_cell_angle_beta 65.63
_cell_angle_gamma 65.63
_symmetry_space_group_name_H-M 'P 1'
_symmetry_Int_Tables_number 1
loop_
_symmetry_equiv_pos_as_xyz
'x,y,z'
loop_
_atom_site_label
_atom_site_type_symbol
_atom_site_fract_x
_atom_site_fract_y
_atom_site_fract_z
Tb1 Tb 0.1125 0.1125 0.1125
Tb2 Tb 0.8875 0.8875 0.8875
Be1 Be 0.5000 0.5000 0.5000
Ni1 Ni 0.1415 0.6095 0.6095
Ni2 Ni 0.1824 0.1824 0.5856
Ni3 Ni 0.1824 0.5856 0.1824
Ni4 Ni 0.3905 0.3905 0.8585
Ni5 Ni 0.3905 0.8585 0.3905
Ni6 Ni 0.4144 0.8176 0.8176
Ni7 Ni 0.5856 0.1824 0.1824
Ni8 Ni 0.6095 0.1415 0.6095
Ni9 Ni 0.6095 0.6095 0.1415
Ni10 Ni 0.8176 0.4144 0.8176
Ni11 Ni 0.8176 0.8176 0.4144
Ni12 Ni 0.8585 0.3905 0.3905
B1 B 0.0000 0.5000 0.5000
B2 B 0.5000 0.0000 0.5000
B3 B 0.5000 0.5000 0.0000


# TbYCd (PBE, optimized geometry)
# crystal system: tetragonal
# energy above the lowest structure with this stoichiometry: 0.01 eV/f.u.
# D(E_F): 7.92 states/eV/cell
# formation energy: -19.42 kJ/mol of atoms
data_TbYCd
_cell_length_a 3.6806
_cell_length_b 3.6806
_cell_length_c 12.6919
_cell_angle_alpha 90.00
_cell_angle_beta 90.00
_cell_angle_gamma 90.00
_symmetry_space_group_name_H-M 'P 1'
_symmetry_Int_Tables_number 1
loop_
_symmetry_equiv_pos_as_xyz
'x,y,z'
loop_
_atom_site_label
_atom_site_type_symbol
_atom_site_fract_x
_atom_site_fract_y
_atom_site_fract_z
Tb1 Tb 0.0000 0.0000 0.0000
Tb2 Tb 0.0000 0.0000 0.3053
Y1 Y 0.0000 0.0000 0.6951
Y2 Y 0.5000 0.5000 0.4990
Cd1 Cd 0.5000 0.5000 0.1516
Cd2 Cd 0.5000 0.5000 0.8477


# LiCo2As (PBE, optimized geometry)
# crystal system: cubic
# D(E_F): 5.17 states/eV/cell
# formation energy: -7.68 kJ/mol of atoms
data_LiCo2As
_cell_length_a 4.0635
_cell_length_b 4.0635
_cell_length_c 4.0635
_cell_angle_alpha 60.00
_cell_angle_beta 60.00
_cell_angle_gamma 60.00
_symmetry_space_group_name_H-M 'P 1'
_symmetry_Int_Tables_number 1
loop_
_symmetry_equiv_pos_as_xyz
'x,y,z'
loop_
_atom_site_label
_atom_site_type_symbol
_atom_site_fract_x
_atom_site_fract_y
_atom_site_fract_z
Li1 Li 0.0000 0.0000 0.0000
Co1 Co 0.5000 0.5000 0.5000
Co2 Co 0.7500 0.7500 0.7500
As1 As 0.2500 0.2500 0.2500


# Tl5In2Hg4 (PBE, optimized geometry)
# crystal system: monoclinic
# D(E_F): 5.09 states/eV/cell
# formation energy: 4.37 kJ/mol of atoms
data_Tl5In2Hg4
_cell_length_a 11.9787
_cell_length_b 11.9787
_cell_length_c 8.5338
_cell_angle_alpha 94.60
_cell_angle_beta 94.60
_cell_angle_gamma 15.89
_symmetry_space_group_name_H-M 'P 1'
_symmetry_Int_Tables_number 1
loop_
_symmetry_equiv_pos_as_xyz
'x,y,z'
loop_
_atom_site_label
_atom_site_type_symbol
_atom_site_fract_x
_atom_site_fract_y
_atom_site_fract_z
Tl1 Tl 0.0000 0.0000 0.0000
Tl2 Tl 0.3200 0.3200 0.0266
Tl3 Tl 0.3718 0.3718 0.4163
Tl4 Tl 0.6282 0.6282 0.5837
Tl5 Tl 0.6800 0.6800 0.9734
In1 In 0.2373 0.2373 0.3334
In2 In 0.7627 0.7627 0.6666
Hg1 Hg 0.1117 0.1117 0.2441
Hg2 Hg 0.4970 0.4970 0.3253
Hg3 Hg 0.5030 0.5030 0.6747
Hg4 Hg 0.8883 0.8883 0.7559


# In2BiSe4I (PBE, optimized geometry)
# crystal system: orthorhombic
# raw formation energy: -481 meV per atom
data_In2BiSe4I
_cell_length_a 14.5721
_cell_length_b 4.1633
_cell_length_c 17.4559
_cell_angle_alpha 90.00
_cell_angle_beta 90.00
_cell_angle_gamma 90.00
_symmetry_space_group_name_H-M 'P 1'
_symmetry_Int_Tables_number 1
loop_
_symmetry_equiv_pos_as_xyz
'x,y,z'
loop_
_atom_site_label
_atom_site_type_symbol
_atom_site_fract_x
_atom_site_fract_y
_atom_site_fract_z
In1 In 0.1282 0.2500 0.1480
In2 In 0.2502 0.2500 0.5119
In3 In 0.2498 0.7500 0.0119
In4 In 0.3718 0.7500 0.6480
In5 In 0.6282 0.2500 0.3520
In6 In 0.7502 0.2500 0.9881
In7 In 0.7498 0.7500 0.4881
In8 In 0.8718 0.7500 0.8520
Bi1 Bi 0.0445 0.7500 0.3968
Bi2 Bi 0.4555 0.2500 0.8968
Bi3 Bi 0.5445 0.7500 0.1032
Bi4 Bi 0.9555 0.2500 0.6032
Se1 Se 0.0992 0.7500 0.5466
Se2 Se 0.1287 0.2500 0.9968
Se3 Se 0.1775 0.2500 0.3709
Se4 Se 0.2369 0.7500 0.1715
Se5 Se 0.2631 0.2500 0.6715
Se6 Se 0.3225 0.7500 0.8709
Se7 Se 0.3713 0.7500 0.4968
Se8 Se 0.4008 0.2500 0.0466
Se9 Se 0.5992 0.7500 0.9534
Se10 Se 0.6287 0.2500 0.5032
Se11 Se 0.6775 0.2500 0.1291
Se12 Se 0.7369 0.7500 0.3285
Se13 Se 0.7631 0.2500 0.8285
Se14 Se 0.8225 0.7500 0.6291
Se15 Se 0.8713 0.7500 0.0032
Se16 Se 0.9008 0.2500 0.4534
I1 I 0.0361 0.7500 0.7745
I2 I 0.4639 0.2500 0.2745
I3 I 0.5361 0.7500 0.7255
I4 I 0.9639 0.2500 0.2255


# Rb2NaPtBr6 (PBE, optimized geometry)
# crystal system: tetragonal
# energy above the lowest structure with this stoichiometry: 0.11 eV/f.u.
# D(E_F): 3.82 states/eV/cell
# raw formation energy: -1062 meV per atom
data_Rb2NaPtBr6
_cell_length_a 7.7532
_cell_length_b 7.7532
_cell_length_c 7.7532
_cell_angle_alpha 119.95
_cell_angle_beta 119.95
_cell_angle_gamma 90.08
_symmetry_space_group_name_H-M 'P 1'
_symmetry_Int_Tables_number 1
loop_
_symmetry_equiv_pos_as_xyz
'x,y,z'
loop_
_atom_site_label
_atom_site_type_symbol
_atom_site_fract_x
_atom_site_fract_y
_atom_site_fract_z
Rb1 Rb 0.2500 0.7500 0.5000
Rb2 Rb 0.7500 0.2500 0.5000
Na1 Na 0.0000 0.0000 0.0000
Pt1 Pt 0.5000 0.5000 0.0000
Br1 Br 0.2655 0.2655 0.5309
Br2 Br 0.2655 0.7345 0.0000
Br3 Br 0.2655 0.2655 0.0000
Br4 Br 0.7345 0.7345 0.0000
Br5 Br 0.7345 0.2655 0.0000
Br6 Br 0.7345 0.7345 0.4691


# ZrAlOs (PBE, optimized geometry)
# crystal system: trigonal
# D(E_F): 2.71 states/eV/cell
# formation energy: -35.62 kJ/mol of atoms
data_ZrAlOs
_cell_length_a 4.3895
_cell_length_b 4.3895
_cell_length_c 3.1409
_cell_angle_alpha 90.00
_cell_angle_beta 90.00
_cell_angle_gamma 120.00
_symmetry_space_group_name_H-M 'P 1'
_symmetry_Int_Tables_number 1
loop_
_symmetry_equiv_pos_as_xyz
'x,y,z'
loop_
_atom_site_label
_atom_site_type_symbol
_atom_site_fract_x
_atom_site_fract_y
_atom_site_fract_z
Zr1 Zr 0.0000 0.0000 0.0000
Al1 Al 0.6667 0.3333 0.5059
Os1 Os 0.3333 0.6667 0.5964


# CsRb2NCl6 (PBE, optimized geometry)
# crystal system: cubic
# D(E_F): 0.00 states/eV/cell
# raw formation energy: -670 meV per atom
data_CsRb2NCl6
_cell_length_a 7.6866
_cell_length_b 7.6866
_cell_length_c 7.6866
_cell_angle_alpha 60.00
_cell_angle_beta 60.00
_cell_angle_gamma 60.00
_symmetry_space_group_name_H-M 'P 1'
_symmetry_Int_Tables_number 1
loop_
_symmetry_equiv_pos_as_xyz
'x,y,z'
loop_
_atom_site_label
_atom_site_type_symbol
_atom_site_fract_x
_atom_site_fract_y
_atom_site_fract_z
Cs1 Cs 0.0000 0.0000 0.0000
Rb1 Rb 0.2500 0.2500 0.2500
Rb2 Rb 0.7500 0.7500 0.7500
N1 N 0.5000 0.5000 0.5000
Cl1 Cl 0.2928 0.2928 0.7072
Cl2 Cl 0.2928 0.7072 0.2928
Cl3 Cl 0.2928 0.7072 0.7072
Cl4 Cl 0.7072 0.2928 0.2928
Cl5 Cl 0.7072 0.2928 0.7072
Cl6 Cl 0.7072 0.7072 0.2928


# Sb2OsPb (PBE, optimized geometry)
# crystal system: orthorhombic
# D(E_F): 2.78 states/eV/cell
# raw formation energy: 827 meV per atom
data_Sb2OsPb
_cell_length_a 5.1820
_cell_length_b 5.1820
_cell_length_c 3.4968
_cell_angle_alpha 90.00
_cell_angle_beta 90.00
_cell_angle_gamma 103.20
_symmetry_space_group_name_H-M 'P 1'
_symmetry_Int_Tables_number 1
loop_
_symmetry_equiv_pos_as_xyz
'x,y,z'
loop_
_atom_site_label
_atom_site_type_symbol
_atom_site_fract_x
_atom_site_fract_y
_atom_site_fract_z
Sb1 Sb 0.0000 0.5000 0.0000
Sb2 Sb 0.5000 0.0000 0.0000
Os1 Os 0.0000 0.0000 0.5000
Pb1 Pb 0.5000 0.5000 0.5000


# PmHoMnTl (PBE, optimized geometry)
# crystal system: cubic
# D(E_F): 4.61 states/eV/cell
# formation energy: -0.67 kJ/mol of atoms
data_PmHoMnTl
_cell_length_a 5.2738
_cell_length_b 5.2738
_cell_length_c 5.2738
_cell_angle_alpha 60.00
_cell_angle_beta 60.00
_cell_angle_gamma 60.00
_symmetry_space_group_name_H-M 'P 1'
_symmetry_Int_Tables_number 1
loop_
_symmetry_equiv_pos_as_xyz
'x,y,z'
loop_
_atom_site_label
_atom_site_type_symbol
_atom_site_fract_x
_atom_site_fract_y
_atom_site_fract_z
Pm1 Pm 0.0000 0.0000 0.0000
Ho1 Ho 0.5000 0.5000 0.5000
Mn1 Mn 0.2500 0.2500 0.2500
Tl1 Tl 0.7500 0.7500 0.7500


# Sm2YEr6 (PBE, optimized geometry)
# crystal system: monoclinic
# energy above the lowest structure with this stoichiometry: 0.00 eV/f.u.
# D(E_F): 14.93 states/eV/cell
# formation energy: 7.24 kJ/mol of atoms
data_Sm2YEr6
_cell_length_a 9.7053
_cell_length_b 9.7053
_cell_length_c 3.4606
_cell_angle_alpha 90.10
_cell_angle_beta 90.10
_cell_angle_gamma 59.91
_symmetry_space_group_name_H-M 'P 1'
_symmetry_Int_Tables_number 1
loop_
_symmetry_equiv_pos_as_xyz
'x,y,z'
loop_
_atom_site_label
_atom_site_type_symbol
_atom_site_fract_x
_atom_site_fract_y
_atom_site_fract_z
Sm1 Sm 0.1667 0.1667 0.0000
Sm2 Sm 0.8333 0.8333 0.0000
Y1 Y 0.5000 0.5000 0.0000
Er1 Er 0.1674 0.8326 0.5000
Er2 Er 0.1676 0.5000 0.5007
Er3 Er 0.5000 0.1676 0.5007
Er4 Er 0.5000 0.8324 0.4993
Er5 Er 0.8324 0.5000 0.4993
Er6 Er 0.8326 0.1674 0.5000


# K2Rb4Au2O (PBE, optimized geometry)
# crystal system: monoclinic
# D(E_F): 4.13 states/eV/cell
# raw formation energy: -459 meV per atom
data_K2Rb4Au2O
_cell_length_a 8.0016
_cell_length_b 8.0016
_cell_length_c 8.2953
_cell_angle_alpha 120.77
_cell_angle_beta 120.77
_cell_angle_gamma 60.40
_symmetry_space_group_name_H-M 'P 1'
_symmetry_Int_Tables_number 1
loop_
_symmetry_equiv_pos_as_xyz
'x,y,z'
loop_
_atom_site_label
_atom_site_type_symbol
_atom_site_fract_x
_atom_site_fract_y
_atom_site_fract_z
K1 K 0.2252 0.2252 0.1435
K2 K 0.7748 0.7748 0.8565
Rb1 Rb 0.1962 0.7231 0.7290
Rb2 Rb 0.2769 0.8038 0.2710
Rb3 Rb 0.7231 0.1962 0.7290
Rb4 Rb 0.8038 0.2769 0.2710
Au1 Au 0.2468 0.2468 0.7552
Au2 Au 0.7532 0.7532 0.2448
O1 O 0.0000 0.0000 0.0000